# Li3CrPCO7, relaxed, DFT PBE with a Hubbard U
# - density (g/cm3) = 2.60
# - energy (eV/atom) = -6.839
# - symmetry = No. 4
# - crystal system = monoclinic
data_Li3CrPCO7
_cell_length_a 5.146
_cell_length_b 6.506
_cell_length_c 8.683
_cell_angle_alpha 90.00
_cell_angle_beta 92.51
_cell_angle_gamma 90.00
_symmetry_space_group_name_H-M 'P 1'
_symmetry_Int_Tables_number 1
loop_
_symmetry_equiv_pos_as_xyz
'x,y,z'
loop_
_atom_site_label
_atom_site_type_symbol
_atom_site_fract_x
_atom_site_fract_y
_atom_site_fract_z
Li1 Li 0.055 0.000 0.492
Li2 Li 0.433 0.136 0.968
Li3 Li 0.439 0.399 0.295
Li4 Li 0.561 0.899 0.705
Li5 Li 0.567 0.636 0.032
Li6 Li 0.945 0.500 0.508
Cr1 Cr 0.021 0.763 0.225
Cr2 Cr 0.979 0.263 0.775
P1 P 0.059 0.767 0.843
P2 P 0.941 0.267 0.157
C1 C 0.444 0.285 0.605
C2 C 0.556 0.785 0.395
O1 O 0.011 0.572 0.744
O2 O 0.057 0.449 0.256
O3 O 0.091 0.246 0.007
O4 O 0.194 0.269 0.569
O5 O 0.352 0.809 0.883
O6 O 0.401 0.850 0.495
O7 O 0.472 0.727 0.257
O8 O 0.528 0.227 0.743
O9 O 0.599 0.350 0.505
O10 O 0.648 0.309 0.117
O11 O 0.806 0.769 0.431
O12 O 0.909 0.746 0.993
O13 O 0.943 0.949 0.744
O14 O 0.989 0.072 0.256